# 1
Computed, not measured: a relaxed structure of Ac3MgGe6Pd2 at the PBE level of DFT.

Lattice parameters (Å, degrees): 6.3474 6.3474 8.5149 90.00 90.00 120.00
Closest atoms and distances in Å follow each position.
Sites, in units of the cell vectors:
Ge (0.1974, 0.3948, 0.2889)  2 Ge 2.59, 1 Pd 2.60, 1 Mg 2.82
Ge (0.3948, 0.1974, 0.7111)  2 Ge 2.59, 1 Pd 2.60, 1 Mg 2.82
Ge (0.8026, 0.6052, 0.7111)  2 Ge 2.59, 1 Pd 2.60, 1 Mg 2.82
Ge (0.1974, 0.8026, 0.2889)  2 Ge 2.59, 1 Pd 2.60, 1 Mg 2.82
Ge (0.8026, 0.1974, 0.7111)  2 Ge 2.59, 1 Pd 2.60, 1 Mg 2.82
Ge (0.6052, 0.8026, 0.2889)  2 Ge 2.59, 1 Pd 2.60, 1 Mg 2.82
Pd (0.3333, 0.6667, 0.0387)  3 Ge 2.60
Pd (0.6667, 0.3333, 0.9613)  3 Ge 2.60
Ac (0.3333, 0.6667, 0.6463)  9 Ge 3.24-3.39, 1 Pd 3.34
Ac (0.0000, 0.0000, 0.0000)  6 Ge 3.28
Ac (0.6667, 0.3333, 0.3537)  9 Ge 3.24-3.39, 1 Pd 3.34
Mg (0.0000, 0.0000, 0.5000)  6 Ge 2.82

Results
The value obtained for the formation enthalpy at 0 K is -446 meV/atom. The energy comes out at -57.4 eV/cell.

# 2
Computed, not measured: a relaxed structure of Ca2Nd3Pt4 at the PBE level of DFT.

Lattice parameters (Å, degrees): 7.7898 7.9429 7.8592 90.00 90.00 109.19
Closest atoms and distances in Å follow each position.
Sites, in units of the cell vectors:
Nd (0.2503, 0.2374, 0.6672)  6 Pt 2.91-3.07
Nd (0.2497, 0.7626, 0.1672)  6 Pt 2.91-3.07
Nd (0.7503, 0.2374, 0.8328)  6 Pt 2.91-3.07
Nd (0.0000, 0.5000, 0.5000)  6 Pt 3.05-3.08
Nd (0.7497, 0.7626, 0.3328)  6 Pt 2.91-3.07
Nd (0.5000, 0.5000, 0.0000)  6 Pt 3.05-3.08
Ca (0.5824, 0.1984, 0.3208)  6 Pt 3.10-3.36
Ca (0.4176, 0.8016, 0.6792)  6 Pt 3.10-3.36
Ca (0.0824, 0.1984, 0.1792)  6 Pt 3.10-3.36
Ca (0.9176, 0.8016, 0.8208)  6 Pt 3.10-3.36
Pt (0.1296, 0.9047, 0.4682)  4 Nd 2.91-3.05, 1 Pt 2.94, 2 Ca 3.11-3.19
Pt (0.3704, 0.0953, 0.9682)  4 Nd 2.91-3.05, 1 Pt 2.94, 2 Ca 3.11-3.19
Pt (0.1269, 0.4978, 0.8712)  1 Pt 2.84, 5 Nd 3.00-3.08, 1 Ca 3.10
Pt (0.6269, 0.4978, 0.6288)  1 Pt 2.84, 5 Nd 3.00-3.08, 1 Ca 3.10
Pt (0.8731, 0.5022, 0.1288)  1 Pt 2.84, 5 Nd 3.00-3.08, 1 Ca 3.10
Pt (0.8704, 0.0953, 0.5318)  4 Nd 2.91-3.05, 1 Pt 2.94, 2 Ca 3.11-3.19
Pt (0.3731, 0.5022, 0.3712)  1 Pt 2.84, 5 Nd 3.00-3.08, 1 Ca 3.10
Pt (0.6296, 0.9047, 0.0318)  4 Nd 2.91-3.05, 1 Pt 2.94, 2 Ca 3.11-3.19

Results
The value obtained for the formation enthalpy at 0 K is -997 meV/atom. The energy comes out at -102.9 eV/cell.

# 3
Computed, not measured: a relaxed structure of Rb2MnCoI6 at the PBE level of DFT.

Lattice parameters (Å, degrees): 8.0542 8.0542 8.0507 59.99 59.99 90.00
Closest atoms and distances in Å follow each position.
Sites, in units of the cell vectors:
I (0.2467, 0.2467, 0.0000)  1 Co 2.81, 1 Mn 2.89
I (0.7533, 0.2467, 0.0000)  1 Co 2.81, 1 Mn 2.89
I (0.7535, 0.7535, 0.4930)  1 Co 2.81, 1 Mn 2.89
I (0.2467, 0.7533, 0.0000)  1 Co 2.81, 1 Mn 2.89
I (0.2465, 0.2465, 0.5070)  1 Co 2.81, 1 Mn 2.89
I (0.7533, 0.7533, 0.0000)  1 Co 2.81, 1 Mn 2.89
Mn (0.5000, 0.5000, 0.0000)  6 I 2.89
Co (0.0000, 0.0000, 0.0000)  6 I 2.81
Rb (0.2500, 0.7500, 0.5000)  12 I 4.03
Rb (0.7500, 0.2500, 0.5000)  12 I 4.03

Results
The energy comes out at -33.8 eV/cell.

# 4
Computed, not measured: a relaxed structure of La2HgBi at the PBE level of DFT.

Lattice parameters (Å, degrees): 4.2753 5.3967 5.3967 90.00 90.00 90.00
Closest atoms and distances in Å follow each position.
Sites, in units of the cell vectors:
Bi (0.5000, 0.0000, 0.0000)  8 La 3.44, 4 Hg 3.82
Hg (0.5000, 0.5000, 0.5000)  8 La 3.44, 4 Bi 3.82
La (0.0000, 0.5000, 0.0000)  4 Hg 3.44, 4 Bi 3.44, 4 La 3.82
La (0.0000, 0.0000, 0.5000)  4 Hg 3.44, 4 Bi 3.44, 4 La 3.82

Results
The value obtained for the formation enthalpy at 0 K is -700 meV/atom. The energy comes out at -16.8 eV/cell. The value obtained for the energy above the lowest structure with this stoichiometry is 6 meV per atom.

# 5
Computed, not measured: a relaxed structure of ZrPaIn at the PBE level of DFT.

Lattice parameters (Å, degrees): 5.0840 8.1682 8.1682 84.44 71.87 71.87
Closest atoms and distances in Å follow each position.
Sites, in units of the cell vectors:
Zr (0.1748, 0.6504, 0.0000)  2 Pa 2.91, 4 In 3.20
Zr (0.8252, 0.3496, 0.0000)  2 Pa 2.91, 4 In 3.20
Zr (0.8252, 0.0000, 0.3496)  2 Pa 2.91, 4 In 3.20
Zr (0.1748, 0.0000, 0.6504)  2 Pa 2.91, 4 In 3.20
In (0.2986, 0.2014, 0.2014)  2 In 3.13, 2 Pa 3.17, 4 Zr 3.20
In (0.7014, 0.7986, 0.7986)  2 In 3.13, 2 Pa 3.17, 4 Zr 3.20
In (0.5000, 0.7986, 0.2014)  2 In 3.13, 2 Pa 3.17, 4 Zr 3.20
In (0.5000, 0.2014, 0.7986)  2 In 3.13, 2 Pa 3.17, 4 Zr 3.20
Pa (0.6262, 0.3738, 0.3738)  1 Pa 2.77, 2 Zr 2.91
Pa (0.0000, 0.6262, 0.3738)  1 Pa 2.77, 2 Zr 2.91
Pa (0.3738, 0.6262, 0.6262)  1 Pa 2.77, 2 Zr 2.91
Pa (0.0000, 0.3738, 0.6262)  1 Pa 2.77, 2 Zr 2.91

Results
The value obtained for the formation enthalpy at 0 K is 231 meV/atom. The energy comes out at -80.4 eV/cell. The value obtained for the energy above the lowest structure with this stoichiometry is 341 meV per atom.

# 6
Computed, not measured: a relaxed structure of KYTl2 at the PBE level of DFT.

Lattice parameters (Å, degrees): 6.5079 6.5079 5.7603 77.52 77.52 32.34
Closest atoms and distances in Å follow each position.
Sites, in units of the cell vectors:
Tl (0.7334, 0.7334, 0.6782)  3 Y 3.24-3.58, 4 K 3.38-3.48, 4 Tl 3.61-3.62
Tl (0.0129, 0.0129, 0.0615)  4 Y 3.35-3.48, 3 K 3.38-3.50, 4 Tl 3.61-3.62
Y (0.4866, 0.4866, 0.5881)  7 Tl 3.24-3.58, 2 Y 3.62
K (0.2670, 0.2670, 0.1722)  7 Tl 3.38-3.50, 2 K 3.62

Results
The value obtained for the formation enthalpy at 0 K is -39 meV/atom. The energy comes out at -12.5 eV/cell. The value obtained for the energy above the lowest structure with this stoichiometry is 170 meV per atom.

- Look up the energy of the sixth one.
  -12.5 eV/cell